A plane-wave DFT calculation with GGA-PBE was carried out for an optimized crystal structure of CaGeH.

As for the spin magnetization: 0.0 μB/f.u. The calculation puts the energy above the most stable polymorph in this dataset at 0.0000 eV per atom.

Lattice parameters (Å, degrees): 8.6430 8.6430 8.6430 26.46 26.46 26.46
Atoms (fractional coordinates):
Ca 0.2280 0.2280 0.2280
Ca 0.7720 0.7720 0.7720
Ge 0.3557 0.3557 0.3557
Ge 0.6443 0.6443 0.6443
H 0.1345 0.1345 0.1345
H 0.8655 0.8655 0.8655

---

A plane-wave DFT calculation with GGA-PBE was carried out for an optimized crystal structure of Sr2PuSn3Rh4.

The total DFT energy (no corrections) is -6.523 eV per atom. As for the spin magnetization: 5.1 μB/f.u.

Lattice parameters (Å, degrees): 4.5533 4.5533 11.2328 90.00 90.00 90.00
Atoms (fractional coordinates):
Sr 0.0000 0.5000 0.2343
Sr 0.5000 0.0000 0.7657
Pu 0.0000 0.0000 0.5000
Sn 0.0000 0.5000 0.8770
Sn 0.5000 0.0000 0.1230
Sn 0.5000 0.5000 0.5000
Rh 0.0000 0.0000 0.0000
Rh 0.0000 0.5000 0.6382
Rh 0.5000 0.0000 0.3618
Rh 0.5000 0.5000 0.0000

---

A plane-wave DFT calculation with GGA-PBE was carried out for an optimized crystal structure of PmPrSi.

The uncorrected formation energy comes out at -0.261 eV per atom. As for the spin magnetization: 0.0 μB/f.u. The calculation puts the energy above the most stable polymorph in this dataset at 0.1742 eV per atom.

Lattice parameters (Å, degrees): 3.7828 13.9379 6.6836 90.00 90.00 90.00
Atoms (fractional coordinates):
Pm 0.0000 0.1232 0.2500
Pm 0.0000 0.8768 0.7500
Pm 0.5000 0.3768 0.7500
Pm 0.5000 0.6232 0.2500
Pr 0.0000 0.1299 0.7500
Pr 0.0000 0.8701 0.2500
Pr 0.5000 0.3701 0.2500
Pr 0.5000 0.6299 0.7500
Si 0.0000 0.5000 0.0000
Si 0.0000 0.5000 0.5000
Si 0.5000 0.0000 0.0000
Si 0.5000 0.0000 0.5000

---

A plane-wave DFT calculation with GGA-PBE was carried out for an optimized crystal structure of RbBaH2.

As for the spin magnetization: 0.1 μB/f.u. The calculation puts the energy above the most stable polymorph in this dataset at 0.0112 eV per atom.

Lattice parameters (Å, degrees): 4.2571 6.7880 9.3973 90.00 102.92 90.00
Atoms (fractional coordinates):
Rb 0.0000 0.0000 0.0000
Rb 0.3446 0.5000 0.6965
Ba 0.2360 0.0000 0.4688
Ba 0.6399 0.5000 0.2746
H 0.1338 0.2585 0.2620
H 0.1338 0.7415 0.2620
H 0.7549 0.2545 0.5077
H 0.7549 0.7455 0.5077

---

A plane-wave DFT calculation with GGA-PBE was carried out for an optimized crystal structure of Sm3Cd2Hg3.

As for the spin magnetization: 0.0 μB/f.u. The calculation puts the energy above the most stable polymorph in this dataset at 0.0494 eV per atom.

Lattice parameters (Å, degrees): 7.9890 7.9890 3.9193 90.00 90.00 120.00
Atoms (fractional coordinates):
Sm 0.0000 0.6312 0.0000
Sm 0.3688 0.3688 0.0000
Sm 0.6312 0.0000 0.0000
Cd 0.3333 0.6667 0.5000
Cd 0.6667 0.3333 0.5000
Hg 0.0000 0.2500 0.5000
Hg 0.2500 0.0000 0.5000
Hg 0.7500 0.7500 0.5000

---

A plane-wave DFT calculation with GGA-PBE was carried out for an optimized crystal structure of Co3BSe.

The uncorrected formation energy comes out at 1.466 eV per atom. As for the spin magnetization: 4.0 μB/f.u. The calculation puts the energy above the most stable polymorph in this dataset at 1.2579 eV per atom.

Lattice parameters (Å, degrees): 4.3105 4.3105 4.3105 90.00 90.00 90.00
Atoms (fractional coordinates):
Co 0.0000 0.0000 0.5000
Co 0.0000 0.5000 0.0000
Co 0.5000 0.0000 0.0000
B 0.5000 0.5000 0.5000
Se 0.0000 0.0000 0.0000

---

A plane-wave DFT calculation with GGA-PBE was carried out for an optimized crystal structure of Ho3Co2Si6Ni.

The uncorrected formation energy comes out at -0.322 eV per atom. As for the spin magnetization: 0.0 μB/f.u.

Lattice parameters (Å, degrees): 5.2503 5.2503 8.6948 90.00 90.00 120.00
Atoms (fractional coordinates):
Ho 0.0000 0.0000 0.0000
Ho 0.3333 0.6667 0.5809
Ho 0.6667 0.3333 0.4191
Co 0.3333 0.6667 0.0802
Co 0.6667 0.3333 0.9198
Si 0.1687 0.3373 0.2790
Si 0.1687 0.8313 0.2790
Si 0.3373 0.1687 0.7210
Si 0.6627 0.8313 0.2790
Si 0.8313 0.1687 0.7210
Si 0.8313 0.6627 0.7210
Ni 0.0000 0.0000 0.5000

---

A plane-wave DFT calculation with GGA-PBE was carried out for an optimized crystal structure of KMg.

The total DFT energy (no corrections) is -1.044 eV per atom. As for the spin magnetization: 0.0 μB/f.u.

Lattice parameters (Å, degrees): 7.0506 7.0506 7.0506 90.00 90.00 90.00
Atoms (fractional coordinates):
K 0.0920 0.4080 0.5920
K 0.4080 0.5920 0.0920
K 0.5920 0.0920 0.4080
K 0.9080 0.9080 0.9080
Mg 0.1012 0.8988 0.3988
Mg 0.3988 0.1012 0.8988
Mg 0.6012 0.6012 0.6012
Mg 0.8988 0.3988 0.1012

---

A plane-wave DFT calculation with GGA-PBE was carried out for an optimized crystal structure of ZrInIr2.

The total DFT energy (no corrections) is -7.802 eV per atom. As for the spin magnetization: 0.0 μB/f.u.

Lattice parameters (Å, degrees): 3.1212 3.6807 6.1295 90.00 90.00 90.00
Atoms (fractional coordinates):
Zr 0.0000 0.0000 0.0000
In 0.0000 0.0000 0.5000
Ir 0.5000 0.5000 0.2474
Ir 0.5000 0.5000 0.7526

---

A plane-wave DFT calculation with GGA-PBE was carried out for an optimized crystal structure of Li2IrPdN.

The uncorrected formation energy comes out at -0.319 eV per atom. As for the spin magnetization: 0.0 μB/f.u.

Lattice parameters (Å, degrees): 4.0761 4.0761 3.7576 90.00 90.00 90.00
Atoms (fractional coordinates):
Li 0.0000 0.5000 0.0000
Li 0.5000 0.0000 0.0000
Ir 0.0000 0.0000 0.5000
Pd 0.5000 0.5000 0.5000
N 0.0000 0.0000 0.0000

---

A plane-wave DFT calculation with GGA-PBE was carried out for an optimized crystal structure of Hg2IrOs.

As for the spin magnetization: 0.0 μB/f.u. The calculation puts the energy above the most stable polymorph in this dataset at 0.2188 eV per atom.

Lattice parameters (Å, degrees): 2.8086 5.0236 10.3681 90.00 90.00 90.00
Atoms (fractional coordinates):
Hg 0.0000 0.0000 0.0000
Hg 0.0000 0.5000 0.2891
Hg 0.5000 0.0000 0.2891
Hg 0.5000 0.5000 0.0000
Ir 0.0000 0.0000 0.5391
Ir 0.5000 0.5000 0.5391
Os 0.0000 0.5000 0.7495
Os 0.5000 0.0000 0.7495